(1)
V8Mo2Os: optimized geometry, PBE.

Computed properties:
- Energy of formation from the pure elements: -0.035 eV per atom
- D(E_F): 10.6 states/eV/f.u.

Structure (CIF):
```
data_V8Mo2Os
_cell_length_a 4.838
_cell_length_b 13.792
_cell_length_c 4.695
_cell_angle_alpha 90.00
_cell_angle_beta 90.00
_cell_angle_gamma 90.00
_symmetry_space_group_name_H-M 'C m m m'
_symmetry_Int_Tables_number 65
_symmetry_space_group_name_Hall '-C 2 2'
loop_
_atom_site_label
_atom_site_fract_x
_atom_site_fract_y
_atom_site_fract_z
V1 0.000 0.000 0.246
V2 0.000 0.405 0.000
V3 0.248 0.338 0.500
Mo1 0.000 0.200 0.000
Os1 0.000 0.500 0.500
```

(2)
Sm13Ho3: optimized geometry, PBE.

Computed properties:
- Energy of formation from the pure elements: 0.027 eV per atom
- D(E_F): 27.8 states/eV/f.u.

Structure (CIF):
```
data_Sm13Ho3
_cell_length_a 7.324
_cell_length_b 11.584
_cell_length_c 12.672
_cell_angle_alpha 90.00
_cell_angle_beta 90.00
_cell_angle_gamma 90.00
_symmetry_space_group_name_H-M 'A m m 2'
_symmetry_Int_Tables_number 38
_symmetry_space_group_name_Hall 'A 2 -2'
loop_
_atom_site_label
_atom_site_fract_x
_atom_site_fract_y
_atom_site_fract_z
Sm1 0.000 0.000 0.000
Sm2 0.000 0.000 0.498
Sm3 0.000 0.248 0.166
Sm4 0.250 0.000 0.748
Sm5 0.251 0.248 0.416
Sm6 0.500 0.000 0.000
Sm7 0.500 0.249 0.165
Ho1 0.251 0.000 0.250
Ho2 0.500 0.000 0.497
```

(3)
HoErPu2N4: optimized geometry, PBE.

Computed properties:
- Formation energy without anion corrections: -1.50 eV per atom
- D(E_F): 12.4 states/eV/f.u.

Structure (CIF):
```
data_HoErPu2N4
_cell_length_a 5.968
_cell_length_b 3.468
_cell_length_c 6.008
_cell_angle_alpha 90.00
_cell_angle_beta 109.60
_cell_angle_gamma 90.00
_symmetry_space_group_name_H-M 'P 1 2/m 1'
_symmetry_Int_Tables_number 10
_symmetry_space_group_name_Hall '-P 2y'
loop_
_atom_site_label
_atom_site_fract_x
_atom_site_fract_y
_atom_site_fract_z
Ho1 0.000 0.000 0.000
Er1 0.000 0.500 0.500
Pu1 0.500 0.000 0.500
Pu2 0.500 0.500 0.000
N1 0.254 0.000 0.750
N2 0.255 0.500 0.253
```

(4)
Pu2UGe: optimized geometry, PBE.

Computed properties:
- Energy above the lowest structure with this stoichiometry: 21.7 meV per atom
- Energy of formation from the pure elements: -0.108 eV per atom
- D(E_F): 12.6 states/eV/f.u.

Structure (CIF):
```
data_Pu2UGe
_cell_length_a 3.742
_cell_length_b 3.742
_cell_length_c 6.137
_cell_angle_alpha 90.00
_cell_angle_beta 90.00
_cell_angle_gamma 90.00
_symmetry_space_group_name_H-M 'P 4/m m m'
_symmetry_Int_Tables_number 123
_symmetry_space_group_name_Hall '-P 4 2'
loop_
_atom_site_label
_atom_site_fract_x
_atom_site_fract_y
_atom_site_fract_z
Pu1 0.000 0.000 0.240
U1 0.500 0.500 0.500
Ge1 0.500 0.500 0.000
```

(5)
La4HoTm: optimized geometry, PBE.

Computed properties:
- Energy above the lowest structure with this stoichiometry: 37.1 meV per atom
- Energy of formation from the pure elements: 0.058 eV per atom
- D(E_F): 9.5 states/eV/f.u.

Structure (CIF):
```
data_La4HoTm
_cell_length_a 12.288
_cell_length_b 5.870
_cell_length_c 12.278
_cell_angle_alpha 90.00
_cell_angle_beta 109.23
_cell_angle_gamma 90.00
_symmetry_space_group_name_H-M 'C 1 2/c 1'
_symmetry_Int_Tables_number 15
_symmetry_space_group_name_Hall '-C 2yc'
loop_
_atom_site_label
_atom_site_fract_x
_atom_site_fract_y
_atom_site_fract_z
La1 0.052 0.242 0.448
La2 0.218 0.292 0.281
Ho1 0.000 0.245 0.750
Tm1 0.250 0.250 0.000
```

(6)
KHgTe2Au: optimized geometry, PBE.

Computed properties:
- Formation energy without anion corrections: -0.43 eV per atom

Structure (CIF):
```
data_KHgTe2Au
_cell_length_a 6.844
_cell_length_b 6.806
_cell_length_c 8.112
_cell_angle_alpha 90.00
_cell_angle_beta 105.68
_cell_angle_gamma 90.00
_symmetry_space_group_name_H-M 'P 1 2/c 1'
_symmetry_Int_Tables_number 13
_symmetry_space_group_name_Hall '-P 2yc'
loop_
_atom_site_label
_atom_site_fract_x
_atom_site_fract_y
_atom_site_fract_z
K1 0.000 0.174 0.250
Hg1 0.500 0.474 0.250
Te1 0.253 0.299 0.939
Au1 0.500 0.000 0.000
```